[1]
The following is a DFT calculation (GGA-PBE) of a relaxed Sm5Tl3 crystal.

DOS(E_F)   8.92 states/eV per cell
Calculated volume   238.1 Å³/f.u.
DFT formation energy   -0.252 eV/atom

a b c (Å): 6.8602 6.8602 5.0843
angles (deg): 90.00 90.00 95.70
Closest atoms and distances in Å follow each position.
Atoms (fractional coordinates):
Sm  0.0000  0.0000  0.0000  8 Sm 3.43-3.56, 4 Tl 3.43
Sm  0.0000  0.5000  0.0000  6 Tl 3.43-3.44, 6 Sm 3.43-3.60
Sm  0.2712  0.2712  0.5000  6 Tl 3.30-3.49, 6 Sm 3.56-3.60
Sm  0.5000  0.0000  0.0000  6 Tl 3.43-3.44, 6 Sm 3.43-3.60
Sm  0.7288  0.7288  0.5000  6 Tl 3.30-3.49, 6 Sm 3.56-3.60
Tl  0.2266  0.7734  0.5000  10 Sm 3.40-3.49, 2 Tl 3.77
Tl  0.5000  0.5000  0.0000  8 Sm 3.30-3.43
Tl  0.7734  0.2266  0.5000  10 Sm 3.40-3.49, 2 Tl 3.77

***

[2]
The following is a DFT calculation (GGA-PBE) of a relaxed Sr2LaSb crystal.

Raw formation energy   -0.448 eV/atom
DOS(E_F)   3.89 states/eV per cell
Calculated volume   162.0 Å³/f.u.

a b c (Å): 7.3372 7.3372 7.3372
angles (deg): 145.47 133.11 59.52
Closest atoms and distances in Å follow each position.
Atoms (fractional coordinates):
Sr  0.0000  0.0000  0.0000  4 Sb 3.64, 2 La 3.83, 2 Sr 3.88
Sr  0.7004  0.2004  0.5000  2 Sb 3.44
La  0.3051  0.8051  0.5000  2 Sb 3.22
Sb  0.4916  0.4916  0.0000  2 La 3.22, 2 Sr 3.44

***

[3]
The following is a DFT calculation (GGA-PBE) of a relaxed Tb3CeSm4 crystal.

DOS(E_F)   15.56 states/eV per cell
Calculated volume   265.3 Å³/f.u.
DFT formation energy   0.189 eV/atom

a b c (Å): 11.8719 11.8719 6.8505
angles (deg): 106.72 106.72 16.69
Closest atoms and distances in Å follow each position.
Atoms (fractional coordinates):
Tb  0.0000  0.0000  0.0000  2 Sm 3.28, 4 Tb 3.29-3.45
Tb  0.1234  0.1234  0.3823  3 Tb 3.29-3.45, 5 Sm 3.31-3.56, 2 Ce 3.66
Tb  0.8766  0.8766  0.6177  3 Tb 3.29-3.45, 5 Sm 3.31-3.56, 2 Ce 3.66
Ce  0.5000  0.5000  0.5000  2 Ce 3.45, 4 Sm 3.66, 8 Tb 3.66-3.83
Sm  0.1231  0.1231  0.8646  3 Tb 3.28-3.55, 5 Sm 3.45-3.58, 2 Ce 3.66
Sm  0.2585  0.2585  0.2613  7 Sm 3.45-3.82, 3 Tb 3.50-3.56
Sm  0.7415  0.7415  0.7387  7 Sm 3.45-3.82, 3 Tb 3.50-3.56
Sm  0.8769  0.8769  0.1354  3 Tb 3.28-3.55, 5 Sm 3.45-3.58, 2 Ce 3.66

***

[4]
The following is a DFT calculation (GGA-PBE) of a relaxed Pr4Sm3Dy2 crystal.

DOS(E_F)   11.39 states/eV per cell
Calculated volume   308.2 Å³/f.u.
DFT formation energy   0.013 eV/atom

a b c (Å): 6.2897 6.2897 15.0378
angles (deg): 110.47 110.47 33.82
Closest atoms and distances in Å follow each position.
Atoms (fractional coordinates):
Pr  0.1672  0.1672  0.1662  5 Sm 3.61-3.66, 3 Dy 3.63-3.65, 4 Pr 3.65-3.66
Pr  0.2789  0.2789  0.6118  3 Dy 3.63-3.64, 3 Sm 3.63-3.65, 6 Pr 3.65-3.66
Pr  0.7211  0.7211  0.3882  3 Dy 3.63-3.64, 3 Sm 3.63-3.65, 6 Pr 3.65-3.66
Pr  0.8328  0.8328  0.8338  5 Sm 3.61-3.66, 3 Dy 3.63-3.65, 4 Pr 3.65-3.66
Sm  0.3887  0.3887  0.0569  5 Pr 3.61-3.66, 2 Dy 3.63, 5 Sm 3.64-3.67
Sm  0.5000  0.5000  0.5000  6 Pr 3.63-3.65, 4 Dy 3.65, 2 Sm 3.66
Sm  0.6113  0.6113  0.9431  5 Pr 3.61-3.66, 2 Dy 3.63, 5 Sm 3.64-3.67
Dy  0.0559  0.0559  0.7222  6 Pr 3.63-3.65, 4 Sm 3.63-3.65, 2 Dy 3.66
Dy  0.9441  0.9441  0.2778  6 Pr 3.63-3.65, 4 Sm 3.63-3.65, 2 Dy 3.66

***

[5]
The following is a DFT calculation (GGA-PBE) of a relaxed NbAlGa2As crystal.

DOS(E_F)   7.15 states/eV per cell
Calculated volume   107.3 Å³/f.u.
DFT formation energy   0.926 eV/atom

a b c (Å): 4.6972 4.6972 4.8651
angles (deg): 90.00 90.00 90.00
Closest atoms and distances in Å follow each position.
Atoms (fractional coordinates):
Nb  0.0000  0.0000  0.0000  4 As 3.32, 8 Ga 3.38
Al  0.5000  0.5000  0.5000  4 Ga 2.35, 2 As 2.43
Ga  0.0000  0.5000  0.5000  2 Al 2.35
Ga  0.5000  0.0000  0.5000  2 Al 2.35
As  0.5000  0.5000  0.0000  2 Al 2.43

***

[6]
The following is a DFT calculation (GGA-PBE) of a relaxed KAuI3 crystal.

Raw formation energy   -0.469 eV/atom
DOS(E_F)   8.29 states/eV per cell
Calculated volume   351.0 Å³/f.u.

a b c (Å): 7.5255 7.5255 7.5255
angles (deg): 67.74 67.74 67.74
Closest atoms and distances in Å follow each position.
Atoms (fractional coordinates):
K  0.0000  0.0000  0.0000  1 Au 3.30, 3 I 3.54
Au  0.8090  0.8090  0.8090  3 I 2.67
I  0.0099  0.0099  0.4633  1 Au 2.67
I  0.0099  0.4633  0.0099  1 Au 2.67
I  0.4633  0.0099  0.0099  1 Au 2.67

***

[7]
The following is a DFT calculation (GGA-PBE) of a relaxed BaZnCd2Ga crystal.

DOS(E_F)   3.72 states/eV per cell
Calculated volume   130.2 Å³/f.u.
DFT formation energy   -0.269 eV/atom

a b c (Å): 6.7503 6.7503 6.7503
angles (deg): 139.37 138.97 59.12
Closest atoms and distances in Å follow each position.
Atoms (fractional coordinates):
Ba  0.0000  0.0000  0.0000  8 Cd 3.61-3.86, 4 Ga 3.62, 4 Zn 3.65-3.88
Zn  0.2636  0.7636  0.5000  2 Ga 2.71, 2 Cd 2.92
Cd  0.6185  0.6185  0.0000  1 Ga 2.81, 2 Cd 2.87, 2 Zn 2.92
Cd  0.7600  0.2600  0.5000  2 Ga 2.75, 2 Cd 2.87
Ga  0.3791  0.3791  0.0000  2 Zn 2.71, 3 Cd 2.75-2.81

***

[8]
The following is a DFT calculation (GGA-PBE) of a relaxed VIr5Ru2 crystal.

DOS(E_F)   21.04 states/eV per cell
Calculated volume   119.8 Å³/f.u.
DFT formation energy   0.200 eV/atom

a b c (Å): 7.2380 7.2380 7.2380
angles (deg): 126.02 126.02 79.86
Closest atoms and distances in Å follow each position.
Atoms (fractional coordinates):
V  0.2500  0.2500  0.0000  10 Ir 2.67-2.78
V  0.7500  0.7500  0.0000  10 Ir 2.67-2.78
Ir  0.0000  0.0000  0.0000  4 Ru 2.55, 2 V 2.78
Ir  0.0233  0.5233  0.2069  4 Ir 2.62-2.72, 3 Ru 2.65-2.76, 2 V 2.67
Ir  0.1837  0.9767  0.5000  4 Ir 2.62-2.72, 3 Ru 2.65-2.76, 2 V 2.67
Ir  0.3163  0.8163  0.7931  4 Ir 2.62-2.72, 3 Ru 2.65-2.76, 2 V 2.67
Ir  0.4767  0.6837  0.5000  4 Ir 2.62-2.72, 3 Ru 2.65-2.76, 2 V 2.67
Ir  0.5000  0.5000  0.0000  4 Ru 2.55, 2 V 2.78
Ir  0.5233  0.3163  0.5000  4 Ir 2.62-2.72, 3 Ru 2.65-2.76, 2 V 2.67
Ir  0.6837  0.1837  0.2069  4 Ir 2.62-2.72, 3 Ru 2.65-2.76, 2 V 2.67
Ir  0.8163  0.0233  0.5000  4 Ir 2.62-2.72, 3 Ru 2.65-2.76, 2 V 2.67
Ir  0.9767  0.4767  0.7931  4 Ir 2.62-2.72, 3 Ru 2.65-2.76, 2 V 2.67
Ru  0.1361  0.3639  0.5000  1 Ru 2.53, 8 Ir 2.55-2.76
Ru  0.3639  0.8639  0.2277  1 Ru 2.53, 8 Ir 2.55-2.76
Ru  0.6361  0.1361  0.7723  1 Ru 2.53, 8 Ir 2.55-2.76
Ru  0.8639  0.6361  0.5000  1 Ru 2.53, 8 Ir 2.55-2.76

***

[9]
The following is a DFT calculation (GGA-PBE) of a relaxed VSi4Mo crystal.

Raw formation energy   -0.483 eV/atom
DOS(E_F)   7.75 states/eV per cell
Calculated volume   79.1 Å³/f.u.

a b c (Å): 4.6076 12.8848 4.6128
angles (deg): 90.00 119.92 90.00
Closest atoms and distances in Å follow each position.
Atoms (fractional coordinates):
V  0.0000  0.0000  0.0000  10 Si 2.52-2.72
V  0.0000  0.4970  0.0000  10 Si 2.49-2.70
V  0.5000  0.3316  0.5000  10 Si 2.50-2.71
Si  0.1721  0.8341  0.8386  5 Si 2.51-2.71, 1 V 2.52, 4 Mo 2.58-2.68
Si  0.1776  0.3338  0.8427  5 Si 2.46-2.74, 4 V 2.49-2.71, 1 Mo 2.55
Si  0.3340  0.1663  0.1632  5 Si 2.51-2.69, 2 V 2.52, 3 Mo 2.65-2.68
Si  0.3355  0.6615  0.1618  5 Si 2.51-2.70, 1 V 2.51, 4 Mo 2.58-2.69
Si  0.3399  0.4950  0.6758  5 Si 2.46-2.72, 4 V 2.50-2.70, 1 Mo 2.56
Si  0.3415  0.9998  0.6795  5 Si 2.51-2.73, 2 Mo 2.55, 3 V 2.63-2.72
Si  0.6585  0.9998  0.3205  5 Si 2.51-2.73, 2 Mo 2.55, 3 V 2.63-2.72
Si  0.6601  0.4950  0.3242  5 Si 2.46-2.72, 4 V 2.50-2.70, 1 Mo 2.56
Si  0.6645  0.6615  0.8382  5 Si 2.51-2.70, 1 V 2.51, 4 Mo 2.58-2.69
Si  0.6660  0.1663  0.8368  5 Si 2.51-2.69, 2 V 2.52, 3 Mo 2.65-2.68
Si  0.8224  0.3338  0.1573  5 Si 2.46-2.74, 4 V 2.49-2.71, 1 Mo 2.55
Si  0.8279  0.8341  0.1614  5 Si 2.51-2.71, 1 V 2.52, 4 Mo 2.58-2.68
Mo  0.0000  0.1667  0.5000  10 Si 2.55-2.68
Mo  0.0000  0.6637  0.5000  10 Si 2.56-2.69
Mo  0.5000  0.8316  0.5000  10 Si 2.55-2.68

***

[10]
The following is a DFT calculation (GGA-PBE) of a relaxed MgBeSi2 crystal.

Raw formation energy   0.490 eV/atom
DOS(E_F)   1.98 states/eV per cell
Calculated volume   58.1 Å³/f.u.

a b c (Å): 4.3462 4.3462 4.3462
angles (deg): 60.00 60.00 60.00
Closest atoms and distances in Å follow each position.
Atoms (fractional coordinates):
Mg  0.0000  0.0000  0.0000  4 Be 2.66, 4 Si 2.66
Be  0.7500  0.7500  0.7500  4 Mg 2.66, 4 Si 2.66
Si  0.2500  0.2500  0.2500  4 Mg 2.66, 4 Si 2.66
Si  0.5000  0.5000  0.5000  4 Be 2.66, 4 Si 2.66

***

[11]
The following is a DFT calculation (GGA-PBE) of a relaxed Sc4Ga5Ge2 crystal.

DOS(E_F)   4.78 states/eV per cell
Calculated volume   209.4 Å³/f.u.
DFT formation energy   -0.539 eV/atom

a b c (Å): 6.9269 3.8037 7.9514
angles (deg): 90.00 91.94 90.00
Closest atoms and distances in Å follow each position.
Atoms (fractional coordinates):
Sc  0.2180  0.0000  0.3661  2 Ge 2.77, 6 Ga 2.87-3.05
Sc  0.2360  0.0000  0.9021  4 Ge 2.86-2.97, 6 Ga 2.89-3.18
Sc  0.7640  0.0000  0.0979  4 Ge 2.86-2.97, 6 Ga 2.89-3.18
Sc  0.7820  0.0000  0.6339  2 Ge 2.77, 6 Ga 2.87-3.05
Ga  0.1365  0.5000  0.6238  1 Ge 2.52, 2 Ga 2.68-2.73
Ga  0.4618  0.5000  0.1625  1 Ge 2.57, 2 Ga 2.66-2.69
Ga  0.5000  0.5000  0.5000  4 Ga 2.69-2.73, 4 Sc 2.90
Ga  0.5382  0.5000  0.8375  1 Ge 2.57, 2 Ga 2.66-2.69
Ga  0.8635  0.5000  0.3762  1 Ge 2.52, 2 Ga 2.68-2.73
Ge  0.0912  0.5000  0.1350  1 Ge 2.45, 2 Ga 2.52-2.57
Ge  0.9088  0.5000  0.8650  1 Ge 2.45, 2 Ga 2.52-2.57

***

[12]
The following is a DFT calculation (GGA-PBE) of a relaxed Li2Ce3NpSe6 crystal.

Raw formation energy   -1.543 eV/atom
DOS(E_F)   25.03 states/eV per cell
Calculated volume   300.3 Å³/f.u.

a b c (Å): 9.2223 9.2223 8.1957
angles (deg): 101.55 101.55 26.11
Closest atoms and distances in Å follow each position.
Atoms (fractional coordinates):
Li  0.1738  0.1738  0.3474  6 Se 2.77-2.98
Li  0.8262  0.8262  0.6526  6 Se 2.77-2.98
Ce  0.1673  0.1673  0.8300  6 Se 2.94-3.02
Ce  0.5000  0.5000  0.5000  6 Se 2.95-2.97
Ce  0.8327  0.8327  0.1700  6 Se 2.94-3.02
Np  0.5000  0.5000  0.0000  6 Se 2.89-2.91
Se  0.0045  0.0045  0.2470  2 Np 2.89, 3 Ce 2.95-3.02, 1 Li 2.98
Se  0.3311  0.3311  0.4253  3 Li 2.77-2.81, 3 Ce 2.96-2.97
Se  0.3344  0.3344  0.9085  1 Np 2.91, 2 Li 2.94, 3 Ce 2.94-2.99
Se  0.6656  0.6656  0.0915  1 Np 2.91, 2 Li 2.94, 3 Ce 2.94-2.99
Se  0.6689  0.6689  0.5747  3 Li 2.77-2.81, 3 Ce 2.96-2.97
Se  0.9955  0.9955  0.7530  2 Np 2.89, 3 Ce 2.95-3.02, 1 Li 2.98